Record 1
## TlRhAuS2 (GGA-PBE)

Data for an optimized crystal structure of TlRhAuS2.

Properties
As for the density of states at the Fermi level: 4.91 states/eV/cell. The energy relative to the elements, uncorrected is 346 meV per atom. The density is 7.47 g cm⁻³.

a = 4.4347 Å, b = 4.4347 Å, c = 6.4270 Å
α = 90.00°, β = 90.00°, γ = 90.00°
Last column: nearest neighbours and their distance in Å.
Space group P4/mmm (No. 123)
One atom of each set of equivalent atoms:
Tl: 0.0000 0.0000 0.0000  4 Au 3.14, 2 Rh 3.21
Rh: 0.0000 0.0000 0.5000  4 S 2.22
Au: 0.5000 0.5000 0.0000  4 Tl 3.14
S: 0.0000 0.5000 0.5000  2 Rh 2.22

=====

Record 2
## RhWAu2S (GGA-PBE)

Data for an optimized crystal structure of RhWAu2S.

Properties
As for the density of states at the Fermi level: 8.12 states/eV/cell. The energy relative to the elements, uncorrected is 1529 meV per atom. The density is 9.86 g cm⁻³.

a = 5.0643 Å, b = 5.0643 Å, c = 4.6787 Å
α = 90.00°, β = 90.00°, γ = 90.00°
Last column: nearest neighbours and their distance in Å.
Space group P4/mmm (No. 123)
One atom of each set of equivalent atoms:
Rh: 0.0000 0.0000 0.0000  2 W 2.34
W: 0.0000 0.0000 0.5000  2 Rh 2.34, 4 Au 2.53
Au: 0.0000 0.5000 0.5000  2 W 2.53
S: 0.5000 0.5000 0.0000  8 Au 3.45, 4 Rh 3.58

=====

Record 3
## SbRhAu (GGA-PBE)

Data for an optimized crystal structure of SbRhAu.

Properties
As for the density of states at the Fermi level: 3.32 states/eV/cell. The energy relative to the elements, uncorrected is -181 meV per atom. The density is 11.69 g cm⁻³.

a = 5.3328 Å, b = 4.2034 Å, c = 5.6400 Å
α = 90.00°, β = 108.69°, γ = 90.00°
Last column: nearest neighbours and their distance in Å.
Space group P2_1/m (No. 11)
One atom of each set of equivalent atoms:
Sb: 0.1119 0.2500 0.3228  4 Rh 2.63-2.77, 1 Au 2.81
Rh: 0.3444 0.7500 0.5789  4 Sb 2.63-2.77, 4 Au 2.81-2.93
Au: 0.3602 0.7500 0.0854  4 Rh 2.81-2.93, 3 Sb 2.81-3.02, 2 Au 2.91

=====

Record 4
## SbRh2Au (GGA-PBE)

Data for an optimized crystal structure of SbRh2Au.

Properties
As for the density of states at the Fermi level: 5.43 states/eV/cell. The energy relative to the elements, uncorrected is 66 meV per atom. The density is 12.45 g cm⁻³.

a = 3.5157 Å, b = 3.5157 Å, c = 5.6615 Å
α = 90.00°, β = 90.00°, γ = 90.00°
Last column: nearest neighbours and their distance in Å.
Space group P4mm (No. 99)
One atom of each set of equivalent atoms:
Sb: 0.0000 0.0000 0.0000  6 Rh 2.67-2.99
Rh: 0.0000 0.0000 0.5275  2 Sb 2.67-2.99, 4 Au 2.77, 4 Rh 2.91
Rh: 0.5000 0.5000 0.7963  4 Sb 2.74, 2 Au 2.75-2.91, 4 Rh 2.91
Au: 0.5000 0.5000 0.3110  6 Rh 2.75-2.91, 4 Sb 3.05

=====

Record 5
## SbRhAu (GGA-PBE)

Data for an optimized crystal structure of SbRhAu.

Properties
As for the density of states at the Fermi level: 8.37 states/eV/cell. The energy relative to the elements, uncorrected is -116 meV per atom. The density is 11.34 g cm⁻³.

a = 6.2738 Å, b = 6.2738 Å, c = 6.2738 Å
α = 90.00°, β = 90.00°, γ = 90.00°
Last column: nearest neighbours and their distance in Å.
Space group F-43m (No. 216)
One atom of each set of equivalent atoms:
Sb: 0.0000 0.0000 0.0000  4 Rh 2.72
Rh: 0.2500 0.2500 0.7500  4 Sb 2.72, 4 Au 2.72
Au: 0.0000 0.0000 0.5000  4 Rh 2.72

=====

Record 6
## SbRh2Au (GGA-PBE)

Data for an optimized crystal structure of SbRh2Au.

Properties
As for the density of states at the Fermi level: 20.05 states/eV/cell. The energy relative to the elements, uncorrected is 87 meV per atom. The density is 12.77 g cm⁻³.

a = 6.4862 Å, b = 6.4862 Å, c = 6.4862 Å
α = 90.00°, β = 90.00°, γ = 90.00°
Last column: nearest neighbours and their distance in Å.
Space group F-43m (No. 216)
One atom of each set of equivalent atoms:
Sb: 0.0000 0.0000 0.0000  4 Rh 2.81, 4 Au 2.81
Rh: 0.0000 0.0000 0.5000  4 Rh 2.81, 4 Au 2.81
Rh: 0.2500 0.2500 0.2500  4 Sb 2.81, 4 Rh 2.81
Au: 0.2500 0.2500 0.7500  4 Sb 2.81, 4 Rh 2.81

=====

Q: What is the formula in the first record?
A: TlRhAuS2

=====

Q: Look up the energy relative to the elements, uncorrected of the sixth one.
A: 87 meV per atom

=====

Q: Which of these has the lowest energy relative to the elements, uncorrected?
A: number 3

=====

Q: Look up the energy relative to the elements, uncorrected of the fifth one.
A: -116 meV per atom